A geometry-optimized BaSrCdSbP structure. Source: the Open Quantum Materials Database, functional PBE.

E_tot = -72.42 eV per cell

a = 4.635 Å, b = 17.973 Å, c = 7.938 Å
α = 90.00°, β = 90.00°, γ = 90.00°
Space group Cmc2_1 (No. 36)
Asymmetric unit:
Ba (0.000, 0.032, 0.000) [4 per cell]
Sr (0.000, 0.190, 0.322) [4 per cell]
Cd (0.000, 0.401, 0.136) [4 per cell]
Sb (0.000, 0.180, 0.739) [4 per cell]
P (0.000, 0.439, 0.800) [4 per cell]



A geometry-optimized BaCdSnP2 structure. Source: the Open Quantum Materials Database, functional PBE.

E_tot = -79.46 eV per cell

a = 4.452 Å, b = 17.029 Å, c = 7.150 Å
α = 90.00°, β = 90.00°, γ = 90.00°
Space group Cmc2_1 (No. 36)
Asymmetric unit:
Ba (0.000, 0.187, 0.000) [4 per cell]
Cd (0.000, 0.396, 0.118) [4 per cell]
Sn (0.000, 0.028, 0.314) [4 per cell]
P (0.000, 0.173, 0.508) [4 per cell]
P (0.000, 0.454, 0.470) [4 per cell]



Which value of E_tot does entry 2 give? -79.46 eV per cell



Which of these has the highest E_tot? BaSrCdSbP